No. 1
# Ti2BF PBE optimized geometry
data_Ti2BF
_symmetry_space_group_name_H-M 'I -4 2 d'
_symmetry_Int_Tables_number 122
_symmetry_space_group_name_Hall 'I -4 2bw'
_cell_length_a 4.770
_cell_length_b 4.770
_cell_length_c 10.014
_cell_angle_alpha 90.00
_cell_angle_beta 90.00
_cell_angle_gamma 90.00
loop_
_atom_site_label
_atom_site_type_symbol
_atom_site_fract_x
_atom_site_fract_y
_atom_site_fract_z
Ti1 Ti 0.239 0.250 0.125
B1 B 0.000 0.000 0.000
F1 F 0.000 0.000 0.500
# Calculated volume, Å³ per atom: 14.242
# E_tot, eV/atom: -6.837

No. 2
# Re2SbCl2 PBE optimized geometry
data_Re2SbCl2
_symmetry_space_group_name_H-M 'I 4/m m m'
_symmetry_Int_Tables_number 139
_symmetry_space_group_name_Hall '-I 4 2'
_cell_length_a 4.253
_cell_length_b 4.253
_cell_length_c 10.132
_cell_angle_alpha 90.00
_cell_angle_beta 90.00
_cell_angle_gamma 90.00
loop_
_atom_site_label
_atom_site_type_symbol
_atom_site_fract_x
_atom_site_fract_y
_atom_site_fract_z
Re1 Re 0.000 0.500 0.250
Sb1 Sb 0.000 0.000 0.000
Cl1 Cl 0.000 0.000 0.361
# Calculated volume, Å³ per atom: 18.325
# E_tot, eV/atom: -5.408

No. 3
# Li17In12 PBE optimized geometry
data_Li17In12
_symmetry_space_group_name_H-M 'I -4 3 m'
_symmetry_Int_Tables_number 217
_symmetry_space_group_name_Hall 'I -4 2 3'
_cell_length_a 10.637
_cell_length_b 10.637
_cell_length_c 10.637
_cell_angle_alpha 90.00
_cell_angle_beta 90.00
_cell_angle_gamma 90.00
loop_
_atom_site_label
_atom_site_type_symbol
_atom_site_fract_x
_atom_site_fract_y
_atom_site_fract_z
Li1 Li 0.000 0.000 0.000
Li2 Li 0.053 0.363 0.637
Li3 Li 0.172 0.172 0.172
In1 In 0.096 0.096 0.706
# Calculated volume, Å³ per atom: 20.752
# DFT formation energy, eV/atom: -0.230
# E_tot, eV/atom: -2.485

No. 4
# Cs2Rb2Na5 PBE optimized geometry
data_Cs2Rb2Na5
_symmetry_space_group_name_H-M 'I m a 2'
_symmetry_Int_Tables_number 46
_cell_length_a 18.657
_cell_length_b 9.727
_cell_length_c 12.620
_cell_angle_alpha 90.00
_cell_angle_beta 90.00
_cell_angle_gamma 90.00
loop_
_symmetry_equiv_pos_as_xyz
'x,y,z'
'-x,-y,z'
'-x+1/2,y,z'
'x+1/2,-y,z'
'x+1/2,y+1/2,z+1/2'
'-x+1/2,-y+1/2,z+1/2'
'-x,y+1/2,z+1/2'
'x,-y+1/2,z+1/2'
loop_
_atom_site_label
_atom_site_type_symbol
_atom_site_fract_x
_atom_site_fract_y
_atom_site_fract_z
Cs1 Cs 0.125 0.009 0.000
Rb1 Rb 0.000 0.000 0.397
Rb2 Rb 0.250 0.516 0.893
Na1 Na 0.048 0.165 0.701
Na2 Na 0.150 0.661 0.192
Na3 Na 0.250 0.167 0.702
# Calculated volume, Å³ per atom: 63.620
# DFT formation energy, eV/atom: 0.036
# E_tot, eV/atom: -1.101